PBE La8Os3CI4, relaxed; total DFT energy (no corrections) = -6.2283 eV per atom; SG = C2/m; formation energy (no corrections) = -16.0 kcal/mol of atoms
1.0
-6.6638 -4.2823 -2.7761
4.7416 -8.1437 1.1803
-0.6856 4.8992 6.7773
C La I Os
1 8 4 3
Cartesian
2.3708 -4.0719 0.5902
1.0825 -1.7513 6.6605
-2.3613 -3.9644 5.2259
-4.0446 -3.2440 2.0239
1.4368 -4.2828 3.1576
-3.6903 -5.7755 -1.4790
-0.2465 -3.5625 -0.0443
-0.7087 -1.0077 3.2556
-1.8990 -6.5192 1.9259
0.0000 0.0000 0.0000
-3.3319 -2.1411 -1.3880
-0.3428 2.4496 3.3886
-3.6747 0.3084 2.0006
-1.3039 -3.7634 2.5908
-0.9611 -6.2130 -0.7979
2.0280 -1.6223 3.9788

***

PBE La4MgSe, relaxed; total DFT energy (no corrections) = -4.0420 eV per atom; SG = F-43m; formation energy (no corrections) = 2.1 kcal/mol of atoms
1.0
5.7968 -2.7237 -1.0427
4.0753 -0.9552 4.9587
1.1837 -6.0200 2.1136
Se La Mg
1 4 1
Cartesian
0.0000 0.0000 0.0000
7.0351 -4.9981 1.7474
6.1796 -4.1191 4.7300
4.1542 -3.6444 2.2656
4.7425 -6.6362 3.3161
8.2918 -7.2742 4.5222

***

PBE Cs2Ge3Br8, relaxed; total DFT energy (no corrections) = -3.1737 eV per atom; SG = C2/m; formation energy (no corrections) = -21.8 kcal/mol of atoms
1.0
-1.6272 0.4222 -7.2124
-3.9769 -7.4150 0.4632
-4.5327 7.4739 4.0733
Ge Br Cs
3 8 2
Cartesian
-0.8136 0.2111 -3.6062
-1.0280 -1.9167 0.1197
-2.9489 -5.4983 0.3435
-5.2508 5.2999 -1.0517
-2.7202 1.1131 -5.5363
-2.7686 -0.8709 -1.8708
-7.3682 1.3520 -0.8051
-4.8647 -2.5433 -5.8250
-7.4166 -0.6320 2.8604
-4.8860 -4.8189 -1.6241
-5.2721 3.0243 3.1492
-6.2005 -1.6264 -2.6169
-3.9363 2.1075 -0.0590

***

PBE SrPm3Te4, relaxed; total DFT energy (no corrections) = -5.0302 eV per atom; SG = Cmmm; formation energy (no corrections) = -33.8 kcal/mol of atoms
1.0
-1.8473 -0.6126 -4.0429
-6.7156 -2.2210 3.4052
-0.1503 7.7702 -1.1087
Pm Sr Te
3 1 4
Cartesian
-4.3567 2.4683 -0.8732
-0.0752 3.8851 -0.5544
-3.3578 -1.1105 1.7026
-0.9237 -0.3063 -2.0214
-2.7323 4.9402 -1.9900
-5.1077 4.1281 1.7084
-5.9810 -0.0036 0.2436
-1.7583 1.4211 0.5881

***

PBE SmScSb, relaxed; total DFT energy (no corrections) = -5.5057 eV per atom; SG = Immm; formation energy (no corrections) = -10.3 kcal/mol of atoms
1.0
5.6833 0.0000 0.0000
0.0000 3.4200 0.0000
-2.8416 -1.7100 8.6292
Sm Sc Sb
2 2 2
Cartesian
0.0000 1.7100 5.7572
2.8416 0.0000 2.8719
1.4643 1.7100 0.0000
4.2189 1.7100 0.0000
2.8416 0.0000 6.0135
0.0000 1.7100 2.6157

***

PBE Cs2ZnC, relaxed; total DFT energy (no corrections) = -1.7477 eV per atom; distance to the lowest polymorph of the same formula = 632 meV per atom; formation energy = 503 kJ/mol of formula units; SG = Fm-3m
1.0
4.8345 -2.3493 2.5656
3.7425 3.4854 3.0527
0.3083 -0.4376 5.9319
C Zn Cs
1 1 2
Cartesian
0.0000 0.0000 0.0000
4.4426 0.3493 5.7751
2.2213 0.1746 2.8875
6.6640 0.5239 8.6626

***

PBE LaNd3Er2, relaxed; total DFT energy (no corrections) = -4.4231 eV per atom; formation energy = 175 kJ/mol of formula units; SG = Immm
1.0
3.5023 0.0000 0.0000
0.0000 5.9898 0.0000
-1.7512 -2.9949 9.9200
Er Nd La
2 3 1
Cartesian
1.7512 2.9949 2.7361
0.0000 0.0000 7.1839
0.0000 2.9949 0.0000
0.0000 0.0000 3.8115
1.7512 2.9949 6.1084
0.0000 0.0000 0.0000

***

PBE Ca2ErPaN4, relaxed; total DFT energy (no corrections) = -7.9481 eV per atom; SG = P2/m; formation energy (no corrections) = -35.2 kcal/mol of atoms
1.0
3.5416 0.0000 0.0000
0.0000 6.0223 0.1234
0.0000 -2.0883 5.6753
Ca N Pa Er
2 4 1 1
Cartesian
0.0000 1.9670 2.8993
1.7708 -1.0442 2.8376
0.0000 4.0865 1.3284
1.7708 2.9985 4.5331
0.0000 -0.1525 4.4702
1.7708 0.9355 1.2655
0.0000 0.0000 0.0000
1.7708 3.0112 0.0617

***

PBE RbHgO2, relaxed; total DFT energy (no corrections) = -3.3808 eV per atom; SG = Pmmm; formation energy (no corrections) = -13.5 kcal/mol of atoms
1.0
3.9216 0.0000 0.0000
0.0000 6.2743 0.0000
0.0000 0.0000 6.5751
O Hg Rb
4 2 2
Cartesian
1.9608 4.5616 3.2874
1.9608 4.5616 0.0002
1.9608 1.7128 3.2877
1.9608 1.7128 6.5749
1.9608 3.1375 4.9313
1.9608 3.1368 1.6438
0.0000 0.0010 4.9313
0.0000 6.2733 1.6438

***

PBE Ba4PdSCl2, relaxed; total DFT energy (no corrections) = -4.1474 eV per atom; SG = P2/m; formation energy (no corrections) = -36.0 kcal/mol of atoms
1.0
-4.0431 -1.8584 0.7838
3.5772 -6.1613 3.8447
0.5322 2.1198 7.7720
Ba Cl Pd S
4 2 1 1
Cartesian
2.9851 -2.8481 8.6462
0.7285 -4.8821 5.2059
-0.6622 -1.0178 7.1945
-2.9188 -3.0518 3.7543
-1.7555 0.1307 4.2779
0.5322 2.1198 7.7720
2.0547 -2.0207 5.8084
-0.2329 -4.0099 2.3142

***

PBE Rb2NbHgS4, relaxed; total DFT energy (no corrections) = -4.4785 eV per atom; SG = I-4; formation energy (no corrections) = -20.2 kcal/mol of atoms
1.0
6.9803 0.1840 0.2819
-2.8078 6.3933 -0.2819
-2.8078 -2.8309 5.7393
Rb Nb Hg S
2 1 1 4
Cartesian
0.0000 0.0000 0.0000
0.6824 4.1793 1.3644
-2.8078 1.7812 2.7287
0.6824 -0.4329 4.3750
-1.7717 -0.2450 3.1208
1.8980 1.5765 2.9205
4.7900 2.9424 1.0115
-2.1868 3.2189 4.4258

***

PBE Ca2MgW, relaxed; total DFT energy (no corrections) = -3.8406 eV per atom; formation energy = 308 kJ/mol of formula units; SG = C2/m
1.0
-2.5240 -3.9721 3.0461
0.4786 -4.5695 3.2120
0.2525 2.7408 5.3003
Mg W Ca
1 1 2
Cartesian
-1.3447 -4.3506 8.6687
-0.4482 -1.4502 2.8896
-0.9223 -3.0375 5.7522
-2.0196 -8.4045 6.2850

***

PBE CaTi2Se4, relaxed; total DFT energy (no corrections) = -5.8344 eV per atom; SG = Cmcm; formation energy (no corrections) = -30.0 kcal/mol of atoms
1.0
3.7970 0.0000 0.0000
-1.8985 6.1467 0.0000
0.0000 0.0000 13.1371
Ti Ca Se
4 2 8
Cartesian
0.0000 1.5166 5.7048
1.8985 4.6301 7.4323
0.0000 1.5166 0.8637
1.8985 4.6301 12.2734
0.0000 4.6349 3.2843
1.8985 1.5118 9.8529
0.0000 2.8391 7.9894
1.8985 0.0000 0.0000
0.0000 0.7365 3.2843
0.0000 2.8391 11.7163
1.8985 3.3076 1.4209
1.8985 5.4102 9.8529
1.8985 3.3076 5.1477
1.8985 0.0000 6.5686

***

PBE AcSN2, relaxed; total DFT energy (no corrections) = -7.2066 eV per atom; SG = P-1; formation energy (no corrections) = -22.7 kcal/mol of atoms
1.0
8.0799 0.5641 -2.4243
0.2640 4.6224 -0.3196
-4.2235 -0.5303 6.6206
N Ac S
4 2 2
Cartesian
4.6894 0.8617 0.7447
5.5584 1.4420 0.2106
-0.5689 3.7945 3.1319
-1.4380 3.2142 3.6661
0.0380 1.2536 1.9100
4.0824 3.4026 1.9667
1.5441 3.4346 0.4157
2.5763 1.2216 3.4610

***

PBE BaLi4Cd2Pb, relaxed; total DFT energy (no corrections) = -2.0974 eV per atom; formation energy = -160 kJ/mol of formula units; SG = R-3m
1.0
-0.3418 -3.9815 2.6985
3.7580 -3.0001 0.3577
4.4848 2.8203 9.0375
Li Pb Cd Ba
4 1 2 1
Cartesian
4.8446 -0.7053 8.1894
3.0565 -3.4560 3.9043
4.7794 -4.8846 6.3229
3.1217 0.7233 5.7708
3.9505 -2.0806 6.0469
2.0588 -0.9117 3.2237
5.8422 -3.2495 8.8700
0.0000 0.0000 0.0000

***

PBE SmDyHo2Sc2, relaxed; total DFT energy (no corrections) = -4.9077 eV per atom; formation energy = 163 kJ/mol of formula units; SG = Pnnm
1.0
3.3345 0.0000 0.0000
0.0000 6.2886 0.0000
0.0000 0.0000 17.3147
Ho Sm Dy Sc
4 2 2 4
Cartesian
1.6672 4.5596 11.9551
1.6672 1.7290 5.3596
0.0000 4.8733 3.2977
0.0000 1.4153 14.0170
0.0000 0.0000 8.6574
1.6672 3.1443 0.0000
1.6672 3.1443 8.6574
0.0000 0.0000 0.0000
1.6672 1.4115 11.1962
0.0000 1.7328 2.5389
0.0000 4.5558 14.7758
1.6672 4.8771 6.1185

***

PBE InSn2Se, relaxed; total DFT energy (no corrections) = -3.5828 eV per atom; distance to the lowest polymorph of the same formula = 0 meV per atom; SG = P4/mmm; formation energy (no corrections) = -0.6 kcal/mol of atoms
1.0
-1.0982 0.0548 -3.4201
-1.9908 -2.9312 0.5923
-6.2340 4.6536 2.0764
Sn Se In
2 1 1
Cartesian
-4.8453 3.6170 1.6139
-1.3886 1.0366 0.4625
-1.5445 -1.4382 -1.4139
-4.6615 0.8886 -0.3757

***

PBE TbPr3, relaxed; total DFT energy (no corrections) = -4.7263 eV per atom; distance to the lowest polymorph of the same formula = 1 meV per atom; formation energy = 6 kJ/mol of formula units; SG = I4/mmm
1.0
-3.2593 -1.4439 3.7969
-2.4573 -3.1755 -3.3170
6.0832 -1.5458 1.0621
Pr Tb
3 1
Cartesian
0.3838 -3.5155 -1.0075
-0.0172 -2.6498 2.5495
-2.8583 -2.3097 0.2399
0.0000 0.0000 0.0000

***

PBE AlAg2Pt, relaxed; total DFT energy (no corrections) = -3.8656 eV per atom; distance to the lowest polymorph of the same formula = 359 meV per atom; formation energy = 2 kJ/mol of formula units; SG = Cmmm
1.0
2.8295 0.0096 0.0000
-1.3197 2.5029 0.0000
0.0000 0.0000 9.4058
Ag Al Pt
2 1 1
Cartesian
0.0000 0.0000 4.6333
0.0000 0.0000 0.0696
0.7549 1.2563 2.3515
0.7549 1.2563 7.0544

***

PBE Ti2TlCr2, relaxed; total DFT energy (no corrections) = -7.2899 eV per atom; formation energy = 92 kJ/mol of formula units; SG = P4/mbm
1.0
7.1189 0.0000 0.0000
0.0000 7.1189 0.0000
0.0000 0.0000 3.1717
Cr Ti Tl
4 4 2
Cartesian
6.4153 4.2630 0.0000
4.2630 0.7036 0.0000
0.7036 2.8559 0.0000
2.8559 6.4153 0.0000
1.3589 4.9184 1.5859
2.2005 1.3589 1.5859
5.7600 2.2005 1.5859
4.9184 5.7600 1.5859
0.0000 0.0000 0.0000
3.5594 3.5594 0.0000